Entry from the Alexandria database: a relaxed Ca6In2N crystal (GGA-PBE).

Values from the calculation:
- Excess energy over the best structure of this formula in the dataset: 167.9 meV/atom

a b c (Å): 3.5151 15.8455 9.5537
angles (deg): 90.00 90.00 90.00
Space group Amm2 (No. 38)
Unique sites:
Ca1 0.0000 0.0000 0.0000 x2
Ca2 0.0000 0.1002 0.7274 x4
Ca3 0.5000 0.0000 0.3695 x2
Ca4 0.5000 0.1987 0.1036 x4
In1 0.0000 0.1809 0.3958 x4
N1 0.5000 0.0000 0.8116 x2



Entry from the Alexandria database: a relaxed Ca3InN crystal (GGA-PBE).

a b c (Å): 6.8501 6.8546 7.3076
angles (deg): 62.05 89.95 60.03
Space group P-1 (No. 2)
Unique sites:
Ca1 0.0751 0.3437 0.2373 x2
Ca2 0.4188 0.1622 0.7628 x2
Ca3 0.4187 0.6565 0.7626 x2
In1 0.0888 0.8225 0.2665 x2
N1 0.3330 0.3338 0.9988 x2



Entry from the Alexandria database: a relaxed Ca4In2N crystal (GGA-PBE).

Values from the calculation:
- Excess energy over the best structure of this formula in the dataset: 219.3 meV/atom

a b c (Å): 4.9119 4.9119 16.3180
angles (deg): 90.00 90.00 90.00
Space group I4/mmm (No. 139)
Unique sites:
Ca1 0.0000 0.0000 0.1534 x4
Ca2 0.0000 0.5000 0.0000 x4
In1 0.0000 0.0000 0.3563 x4
N1 0.0000 0.0000 0.0000 x2



Sequential uncorrected formation energy output: -3.2, -2.5, -3.1 eV/f.u.
Sequential V output: 532.1, 250.1, 393.7 Å³ per cell